Entry 1:
First-principles (PBE) data for a relaxed structure of TbHo2Sc, as listed in the Alexandria database.

The total magnetic moment is 0.00 μB/cell. The calculation puts the total energy at -4.9853 eV per atom. Its formation energy is 0.044 eV/atom. As for the crystal system: trigonal. The value obtained for the energy above the most stable polymorph in this dataset is 0.016 eV/atom.

a b c (Å): 11.429 11.429 11.429
angles (deg): 17.52 17.52 17.52
Element x y z (fractional)
Tb  0.000  0.000  0.000
Ho  0.247  0.247  0.247
Ho  0.753  0.753  0.753
Sc  0.500  0.500  0.500

Entry 2:
First-principles (PBE) data for a relaxed structure of SrY2Pb, as listed in the Alexandria database.

The total magnetic moment is 0.00 μB/cell. The calculation puts the total energy at -4.6634 eV per atom. Its formation energy is -0.084 eV/atom. As for the crystal system: monoclinic.

a b c (Å): 6.884 6.884 3.571
angles (deg): 103.49 103.49 117.91
Element x y z (fractional)
Sr  0.000  0.000  0.000
Y  0.000  0.500  0.500
Y  0.500  0.000  0.500
Pb  0.500  0.500  0.000

Entry 3:
First-principles (PBE) data for a relaxed structure of TaReAs3, as listed in the Alexandria database.

The total magnetic moment is 3.72 μB/cell. The calculation puts the total energy at -6.3451 eV per atom. Its formation energy is 1.305 eV/atom. As for the crystal system: cubic. The value obtained for the energy above the most stable polymorph in this dataset is 0.097 eV/atom.

a b c (Å): 4.960 4.960 4.960
angles (deg): 90.00 90.00 90.00
Element x y z (fractional)
Ta  0.000  0.000  0.000
Re  0.500  0.500  0.500
As  0.000  0.000  0.500
As  0.000  0.500  0.000
As  0.500  0.000  0.000